No. 1
ZnNiW2 | PBE | optimized geometry

abc: 9.3067 2.8737 4.4857
angles: 90.00 103.27 90.00
With the nearest neighbours (Å) after each atom.
Space group C2/m (No. 12)
Unique sites:
Zn  0.0000  0.0000  0.0000 [2 per cell]  4 Ni 2.66, 6 W 2.77-2.80, 2 Zn 2.87
Ni  0.0000  0.5000  0.5000 [2 per cell]  4 Zn 2.66, 6 W 2.69-2.84, 2 Ni 2.87
W  0.2432  0.0000  0.7423 [4 per cell]  6 W 2.63-2.87, 3 Ni 2.69-2.84, 3 Zn 2.77-2.80

total moment = 0.000 μB/cell
energy of formation = 0.233 eV/atom
mass density = 14.0 g/cm³
calculated total energy = -64.06 eV per cell

***

No. 2
ZnNiW2 | PBE | optimized geometry

abc: 3.8026 3.8026 7.9364
angles: 90.00 90.00 90.00
With the nearest neighbours (Å) after each atom.
Space group I-4m2 (No. 119)
Unique sites:
Zn  0.0000  0.0000  0.0000 [2 per cell]  8 W 2.69-2.75, 4 Ni 2.75
Ni  0.0000  0.5000  0.7500 [2 per cell]  8 W 2.69-2.75, 4 Zn 2.75
W  0.0000  0.0000  0.5000 [2 per cell]  4 Zn 2.69, 4 W 2.75, 4 Ni 2.75
W  0.0000  0.5000  0.2500 [2 per cell]  4 Ni 2.69, 4 W 2.75, 4 Zn 2.75

total moment = 0.000 μB/cell
energy of formation = 0.242 eV/atom
mass density = 14.2 g/cm³
calculated total energy = -63.98 eV per cell

***

No. 3
ZnNiW2 | PBE | optimized geometry

abc: 3.4200 4.0038 8.3739
angles: 90.00 90.00 90.00
With the nearest neighbours (Å) after each atom.
Space group Immm (No. 71)
Unique sites:
Zn  0.0000  0.0000  0.0000 [2 per cell]  4 Ni 2.63, 8 W 2.72-2.88
Ni  0.0000  0.0000  0.5000 [2 per cell]  4 Zn 2.63, 8 W 2.68-2.92
W  0.0000  0.5000  0.2467 [4 per cell]  4 W 2.63, 4 Ni 2.68-2.92, 4 Zn 2.72-2.88

total moment = 0.000 μB/cell
energy of formation = 0.185 eV/atom
mass density = 14.2 g/cm³
calculated total energy = -64.44 eV per cell